Computed, not measured: a relaxed TbCe2HoS4 crystal at the GGA-PBE level of DFT.

Structure (POSCAR):
```
TbCe2HoS4
1.0
3.943 0.000 0.000
0.000 6.838 0.118
0.000 -2.390 6.505
Tb Ce Ho S
1 2 1 4
direct
0.500 0.500 0.000 Tb
0.500 0.000 0.500 Ce
0.000 0.500 0.500 Ce
0.000 0.000 0.000 Ho
0.500 0.244 0.237 S
0.500 0.756 0.763 S
0.000 0.252 0.761 S
0.000 0.748 0.239 S
```

Computed properties:
raw formation energy = -2.03 eV/atom
Fermi-level density of states = 10.79 states/eV/cell
total moment = 1.56 Bohr magnetons per cell
volume = 176.5 Å³ per cell

=====

Computed, not measured: a relaxed Hf2H2Ru crystal at the GGA-PBE level of DFT.

Structure (POSCAR):
```
Hf2H2Ru
1.0
-0.855 2.827 1.180
-0.695 -1.372 2.784
4.874 1.656 3.849
Ru Hf H
1 2 2
direct
0.000 0.000 0.000 Ru
0.363 0.363 0.275 Hf
0.637 0.637 0.725 Hf
0.750 0.250 0.500 H
0.250 0.750 0.500 H
```

Computed properties:
Fermi-level density of states = 1.25 states/eV/cell
energy = -7.80 eV per atom
total moment = 0.00 Bohr magnetons per cell
volume = 60.9 Å³ per cell

=====

Computed, not measured: a relaxed CePu5Bi6 crystal at the GGA-PBE level of DFT.

Structure (POSCAR):
```
CePu5Bi6
1.0
-4.409 -0.109 1.139
-2.284 0.920 -8.752
3.892 -10.233 4.984
Bi Ce Pu
6 1 5
direct
0.834 0.750 0.667 Bi
0.834 0.251 0.668 Bi
0.500 0.249 0.999 Bi
0.500 0.751 0.001 Bi
0.166 0.749 0.332 Bi
0.166 0.250 0.333 Bi
0.000 0.000 0.000 Ce
0.667 0.501 0.334 Pu
0.332 0.000 0.665 Pu
0.000 0.500 0.000 Pu
0.668 0.000 0.335 Pu
0.333 0.499 0.666 Pu
```

Computed properties:
Fermi-level density of states = 73.71 states/eV/cell
total moment = 26.19 Bohr magnetons per cell
calculated formation energy = -0.40 eV per atom
volume = 399.7 Å³ per cell

=====

Computed, not measured: a relaxed KCr2Se4 crystal at the GGA-PBE level of DFT.

Structure (POSCAR):
```
KCr2Se4
1.0
-1.157 0.529 3.447
2.794 -5.208 1.736
6.039 6.072 -0.863
Cr K Se
2 1 4
direct
0.248 0.234 0.496 Cr
0.752 0.766 0.504 Cr
0.500 0.500 0.000 K
0.657 0.007 0.314 Se
0.343 0.993 0.686 Se
0.165 0.514 0.331 Se
0.835 0.486 0.669 Se
```

Computed properties:
raw formation energy = -0.71 eV/atom
Fermi-level density of states = 3.25 states/eV/cell
total moment = 5.08 Bohr magnetons per cell
volume = 180.7 Å³ per cell

=====

Computed, not measured: a relaxed AlAg2Se crystal at the GGA-PBE level of DFT.

Structure (POSCAR):
```
AlAg2Se
1.0
-2.180 2.732 3.308
-0.551 4.720 -0.761
-4.376 1.802 -0.872
Se Ag Al
1 2 1
direct
0.500 0.500 0.500 Se
0.250 0.250 0.250 Ag
0.750 0.750 0.750 Ag
0.000 0.000 0.000 Al
```

Computed properties:
raw formation energy = 0.15 eV/atom
Fermi-level density of states = 1.31 states/eV/cell
total moment = 0.00 Bohr magnetons per cell
volume = 78.8 Å³ per cell

=====

Computed, not measured: a relaxed Sc2PPb crystal at the GGA-PBE level of DFT.

Structure (POSCAR):
```
Sc2PPb
1.0
3.304 0.000 0.000
0.000 3.304 0.000
0.000 0.000 7.753
Sc P Pb
2 1 1
direct
0.000 0.000 0.806 Sc
0.000 0.000 0.194 Sc
0.500 0.500 0.000 P
0.500 0.500 0.500 Pb
```

Computed properties:
Fermi-level density of states = 3.66 states/eV/cell
total moment = 0.47 Bohr magnetons per cell
calculated formation energy = -0.69 eV per atom
volume = 84.6 Å³ per cell

=====

Computed, not measured: a relaxed Th2AgHgIr crystal at the GGA-PBE level of DFT.

Structure (POSCAR):
```
Th2AgHgIr
1.0
-4.081 -0.892 0.498
0.674 -5.699 -4.695
1.912 -4.801 7.076
Th Ag Hg Ir
4 2 2 2
direct
0.750 0.822 0.653 Th
0.750 0.797 0.076 Th
0.250 0.178 0.347 Th
0.250 0.203 0.924 Th
0.250 0.504 0.632 Ag
0.750 0.496 0.368 Ag
0.250 0.756 0.362 Hg
0.750 0.244 0.638 Hg
0.250 0.799 0.863 Ir
0.750 0.201 0.137 Ir
```

Computed properties:
Fermi-level density of states = 7.03 states/eV/cell
total moment = 0.00 Bohr magnetons per cell
calculated formation energy = -0.39 eV per atom
volume = 272.6 Å³ per cell

=====

Computed, not measured: a relaxed InBiF4 crystal at the GGA-PBE level of DFT.

Structure (POSCAR):
```
InBiF4
1.0
5.653 0.240 -2.456
-1.302 5.507 -2.458
-0.273 -0.360 7.080
In Bi F
2 2 8
direct
0.375 0.625 0.250 In
0.625 0.375 0.750 In
0.125 0.875 0.750 Bi
0.875 0.125 0.250 Bi
0.000 0.203 0.000 F
0.500 0.797 0.000 F
0.203 0.500 0.500 F
0.797 0.500 0.500 F
0.203 0.000 0.500 F
0.500 0.203 0.000 F
0.797 0.000 0.500 F
0.000 0.797 0.000 F
```

Computed properties:
raw formation energy = -2.14 eV/atom
Fermi-level density of states = 0.00 states/eV/cell
total moment = 0.00 Bohr magnetons per cell
volume = 212.9 Å³ per cell